## Mn3RhSe (PBE-GGA)

Data for crystalline Mn3RhSe at its relaxed geometry.

abc: 4.808 4.808 4.808
angles: 90.00 90.00 90.00
Atoms (fractional coordinates):
1 Mn 0.000 0.000 0.500
2 Mn 0.000 0.500 0.000
3 Mn 0.500 0.000 0.000
4 Rh 0.000 0.000 0.000
5 Se 0.500 0.500 0.500

Output
Energy above the lowest structure with this stoichiometry: 0 meV/atom
SG: No. 221
Calculated total energy: -6.9157 eV/atom
Magnetic moment: 14.0 μB per cell
DOS(E_F): 2.98 states/eV per cell
Raw formation energy: 3.8 eV per formula unit
Density: 5.18 g/cm³

***

## MnRh2Se (PBE-GGA)

Data for crystalline MnRh2Se at its relaxed geometry.

abc: 4.665 4.665 4.665
angles: 129.43 129.43 74.32
Atoms (fractional coordinates):
1 Mn 0.000 0.000 0.000
2 Rh 0.250 0.750 0.500
3 Rh 0.750 0.250 0.500
4 Se 0.500 0.500 0.000

Output
SG: No. 139
Calculated total energy: -6.8652 eV/atom
Magnetic moment: 4.0 μB per cell
DOS(E_F): 2.76 states/eV per cell
Raw formation energy: -0.1 eV per formula unit
Density: 9.56 g/cm³

***

## MnRhSe3 (PBE-GGA)

Data for crystalline MnRhSe3 at its relaxed geometry.

abc: 4.891 4.891 4.891
angles: 90.00 90.00 90.00
Atoms (fractional coordinates):
1 Mn 0.000 0.000 0.000
2 Rh 0.500 0.500 0.500
3 Se 0.000 0.500 0.500
4 Se 0.500 0.000 0.500
5 Se 0.500 0.500 0.000

Output
Energy above the lowest structure with this stoichiometry: 751 meV/atom
SG: No. 221
Calculated total energy: -4.9379 eV/atom
Magnetic moment: 3.6 μB per cell
DOS(E_F): 5.98 states/eV per cell
Raw formation energy: 2.3 eV per formula unit
Density: 5.60 g/cm³

***

## MnRh2Se (PBE-GGA)

Data for crystalline MnRh2Se at its relaxed geometry.

abc: 2.941 4.133 5.201
angles: 90.00 106.08 90.00
Atoms (fractional coordinates):
1 Mn 0.000 0.000 0.000
2 Rh 0.363 0.500 0.739
3 Rh 0.637 0.500 0.261
4 Se 0.000 0.000 0.500

Output
SG: No. 10
Calculated total energy: -6.8280 eV/atom
Magnetic moment: 3.7 μB per cell
DOS(E_F): 3.02 states/eV per cell
Raw formation energy: 0.0 eV per formula unit
Density: 9.28 g/cm³

***

## Mn3RhSe (PBE-GGA)

Data for crystalline Mn3RhSe at its relaxed geometry.

abc: 4.247 4.247 4.247
angles: 90.00 90.00 90.00
Atoms (fractional coordinates):
1 Mn 0.000 0.000 0.500
2 Mn 0.000 0.500 0.000
3 Mn 0.500 0.000 0.000
4 Rh 0.500 0.500 0.500
5 Se 0.000 0.000 0.000

Output
Energy above the lowest structure with this stoichiometry: 394 meV/atom
SG: No. 221
Calculated total energy: -6.5222 eV/atom
Magnetic moment: 0.1 μB per cell
DOS(E_F): 13.27 states/eV per cell
Raw formation energy: 5.7 eV per formula unit
Density: 7.52 g/cm³

***

## MnRhSe4 (PBE-GGA)

Data for crystalline MnRhSe4 at its relaxed geometry.

abc: 5.933 5.927 5.934
angles: 90.00 90.53 90.00
Atoms (fractional coordinates):
1 Mn 0.000 0.000 0.000
2 Mn 0.000 0.500 0.500
3 Rh 0.500 0.000 0.500
4 Rh 0.500 0.500 0.000
5 Se 0.112 0.130 0.633
6 Se 0.112 0.370 0.133
7 Se 0.365 0.617 0.615
8 Se 0.365 0.883 0.115
9 Se 0.635 0.117 0.885
10 Se 0.635 0.383 0.385
11 Se 0.888 0.630 0.867
12 Se 0.888 0.870 0.367

Output
SG: No. 14
Calculated total energy: -5.4731 eV/atom
Magnetic moment: 0.1 μB per cell
DOS(E_F): 5.01 states/eV per cell
Raw formation energy: -2.4 eV per formula unit
Density: 7.54 g/cm³

***

## Mn3RhSe6 (PBE-GGA)

Data for crystalline Mn3RhSe6 at its relaxed geometry.

abc: 6.740 6.740 6.740
angles: 56.75 56.75 56.75
Atoms (fractional coordinates):
1 Mn 0.000 0.000 0.000
2 Mn 0.185 0.185 0.185
3 Mn 0.686 0.686 0.686
4 Rh 0.501 0.501 0.501
5 Se 0.095 0.410 0.778
6 Se 0.281 0.912 0.591
7 Se 0.410 0.778 0.095
8 Se 0.591 0.281 0.912
9 Se 0.778 0.095 0.410
10 Se 0.912 0.591 0.281

Output
SG: No. 146
Calculated total energy: -5.9837 eV/atom
Magnetic moment: 10.9 μB per cell
DOS(E_F): 5.55 states/eV per cell
Raw formation energy: -4.1 eV per formula unit
Density: 6.15 g/cm³

***

## MnRh2Se (PBE-GGA)

Data for crystalline MnRh2Se at its relaxed geometry.

abc: 8.257 8.257 8.257
angles: 20.57 20.57 20.57
Atoms (fractional coordinates):
1 Mn 0.000 0.000 0.000
2 Rh 0.249 0.249 0.249
3 Rh 0.751 0.751 0.751
4 Se 0.500 0.500 0.500

Output
SG: No. 166
Calculated total energy: -6.8064 eV/atom
Magnetic moment: 4.1 μB per cell
DOS(E_F): 2.44 states/eV per cell
Raw formation energy: 0.1 eV per formula unit
Density: 9.27 g/cm³

***

## MnRh2Se (PBE-GGA)

Data for crystalline MnRh2Se at its relaxed geometry.

abc: 4.915 4.915 4.385
angles: 106.89 106.89 36.95
Atoms (fractional coordinates):
1 Mn 0.000 0.000 0.000
2 Rh 0.524 0.524 0.518
3 Rh 0.747 0.747 0.165
4 Se 0.252 0.252 0.629

Output
SG: No. 8
Calculated total energy: -6.8691 eV/atom
Magnetic moment: 4.4 μB per cell
DOS(E_F): 3.35 states/eV per cell
Raw formation energy: -0.1 eV per formula unit
Density: 9.31 g/cm³

***

## Mn2RhSe4 (PBE-GGA)

Data for crystalline Mn2RhSe4 at its relaxed geometry.

abc: 7.541 7.541 10.678
angles: 90.00 90.00 90.00
Atoms (fractional coordinates):
1 Mn 0.000 0.251 0.000
2 Mn 0.000 0.749 0.500
3 Mn 0.251 0.000 0.750
4 Mn 0.255 0.255 0.375
5 Mn 0.255 0.745 0.125
6 Mn 0.745 0.255 0.625
7 Mn 0.745 0.745 0.875
8 Mn 0.749 0.000 0.250
9 Rh 0.248 0.500 0.750
10 Rh 0.500 0.248 0.000
11 Rh 0.500 0.752 0.500
12 Rh 0.752 0.500 0.250
13 Se 0.019 0.254 0.758
14 Se 0.019 0.746 0.742
15 Se 0.254 0.019 0.992
16 Se 0.254 0.981 0.508
17 Se 0.256 0.476 0.986
18 Se 0.256 0.524 0.514
19 Se 0.476 0.256 0.764
20 Se 0.476 0.744 0.736
21 Se 0.524 0.256 0.236
22 Se 0.524 0.744 0.264
23 Se 0.744 0.476 0.014
24 Se 0.744 0.524 0.486
25 Se 0.746 0.019 0.008
26 Se 0.746 0.981 0.492
27 Se 0.981 0.254 0.242
28 Se 0.981 0.746 0.258

Output
SG: No. 91
Calculated total energy: -6.0650 eV/atom
Magnetic moment: 35.7 μB per cell
DOS(E_F): 11.73 states/eV per cell
Raw formation energy: -2.8 eV per formula unit
Density: 5.78 g/cm³

***

## Mn4RhSe (PBE-GGA)

Data for crystalline Mn4RhSe at its relaxed geometry.

abc: 4.838 4.838 4.838
angles: 60.00 60.00 60.00
Atoms (fractional coordinates):
1 Mn 0.376 0.376 0.376
2 Mn 0.376 0.376 0.873
3 Mn 0.376 0.873 0.376
4 Mn 0.873 0.376 0.376
5 Rh 0.750 0.750 0.750
6 Se 0.000 0.000 0.000

Output
SG: No. 216
Calculated total energy: -7.4912 eV/atom
Magnetic moment: 8.4 μB per cell
DOS(E_F): 10.04 states/eV per cell
Raw formation energy: 2.6 eV per formula unit
Density: 8.33 g/cm³

***

## MnRh2Se (PBE-GGA)

Data for crystalline MnRh2Se at its relaxed geometry.

abc: 2.953 3.992 5.380
angles: 90.00 105.92 90.00
Atoms (fractional coordinates):
1 Mn 0.000 0.000 0.000
2 Rh 0.253 0.000 0.511
3 Rh 0.617 0.500 0.239
4 Se 0.386 0.500 0.771

Output
SG: No. 6
Calculated total energy: -6.8408 eV/atom
Magnetic moment: 4.2 μB per cell
DOS(E_F): 4.16 states/eV per cell
Raw formation energy: 0.0 eV per formula unit
Density: 9.25 g/cm³